[1]
## TlFe2Ge2 (GGA-PBE)

Data for an optimized crystal structure of TlFe2Ge2.

Results
**SG**: I4/mmm
**Total moment**: 0.529 μB per formula unit
**Crystal system**: tetragonal
**D(E_F)**: 4.3 states/eV/f.u.
**Formation enthalpy at 0 K**: 6.517 kcal/mol of atoms

Unit cell a=6.322 b=6.322 c=6.322 alpha=146.12 beta=146.12 gamma=48.67
Element x y z (fractional)
Tl 0.000 0.000 0.000
Fe 0.390 0.390 0.000
Fe 0.610 0.610 0.000
Ge 0.250 0.750 0.500
Ge 0.750 0.250 0.500

***

[2]
## TlFe2Ge (GGA-PBE)

Data for an optimized crystal structure of TlFe2Ge.

Results
**SG**: I-42d
**Total moment**: 5.045 μB per formula unit
**Crystal system**: tetragonal
**D(E_F)**: 4.1 states/eV/f.u.
**Formation enthalpy at 0 K**: 13.824 kcal/mol of atoms

Unit cell a=9.091 b=9.091 c=9.091 alpha=153.39 beta=153.39 gamma=37.99
Element x y z (fractional)
Tl 0.000 0.000 0.000
Tl 0.750 0.250 0.500
Fe 0.225 0.625 0.100
Fe 0.375 0.475 0.600
Fe 0.525 0.125 0.900
Fe 0.875 0.775 0.400
Ge 0.250 0.750 0.500
Ge 0.500 0.500 0.000

***

[3]
## TlFeGe3 (GGA-PBE)

Data for an optimized crystal structure of TlFeGe3.

Results
**SG**: Pm-3m
**Total moment**: 1.279 μB per formula unit
**Crystal system**: cubic
**D(E_F)**: 4.2 states/eV/f.u.
**Formation enthalpy at 0 K**: 4.711 kcal/mol of atoms

Unit cell a=4.684 b=4.684 c=4.684 alpha=90.00 beta=90.00 gamma=90.00
Element x y z (fractional)
Tl 0.000 0.000 0.000
Fe 0.500 0.500 0.500
Ge 0.000 0.500 0.500
Ge 0.500 0.000 0.500
Ge 0.500 0.500 0.000

***

[4]
## Tl2FeGe2 (GGA-PBE)

Data for an optimized crystal structure of Tl2FeGe2.

Results
**SG**: P4/mbm
**Total moment**: 0.200 μB per formula unit
**Crystal system**: tetragonal
**D(E_F)**: 3.0 states/eV/f.u.
**Formation enthalpy at 0 K**: 7.460 kcal/mol of atoms

Unit cell a=6.312 b=6.312 c=5.902 alpha=90.00 beta=90.00 gamma=90.00
Element x y z (fractional)
Tl 0.186 0.314 0.000
Tl 0.314 0.814 0.000
Tl 0.686 0.186 0.000
Tl 0.814 0.686 0.000
Fe 0.000 0.000 0.500
Fe 0.500 0.500 0.500
Ge 0.237 0.737 0.500
Ge 0.263 0.237 0.500
Ge 0.737 0.763 0.500
Ge 0.763 0.263 0.500

***

[5]
## Tl3FeGe (GGA-PBE)

Data for an optimized crystal structure of Tl3FeGe.

Results
**SG**: Pm-3m
**Total moment**: 3.186 μB per formula unit
**Crystal system**: cubic
**D(E_F)**: 8.4 states/eV/f.u.
**Formation enthalpy at 0 K**: 22.477 kcal/mol of atoms

Unit cell a=5.521 b=5.521 c=5.521 alpha=90.00 beta=90.00 gamma=90.00
Element x y z (fractional)
Tl 0.000 0.000 0.500
Tl 0.000 0.500 0.000
Tl 0.500 0.000 0.000
Fe 0.500 0.500 0.500
Ge 0.000 0.000 0.000

***

[6]
## TlFe2Ge (GGA-PBE)

Data for an optimized crystal structure of TlFe2Ge.

Results
**SG**: Fm-3m
**Total moment**: 0.000 μB per formula unit
**Crystal system**: cubic
**D(E_F)**: 4.7 states/eV/f.u.
**Formation enthalpy at 0 K**: 13.877 kcal/mol of atoms

Unit cell a=4.330 b=4.330 c=4.330 alpha=60.00 beta=60.00 gamma=60.00
Element x y z (fractional)
Tl 0.000 0.000 0.000
Fe 0.250 0.250 0.250
Fe 0.750 0.750 0.750
Ge 0.500 0.500 0.500

***

[7]
## TlFe2Ge2 (GGA-PBE)

Data for an optimized crystal structure of TlFe2Ge2.

Results
**SG**: P4/mbm
**Total moment**: 1.743 μB per formula unit
**Crystal system**: tetragonal
**D(E_F)**: 4.4 states/eV/f.u.
**Formation enthalpy at 0 K**: 6.763 kcal/mol of atoms

Unit cell a=7.051 b=7.051 c=3.028 alpha=90.00 beta=90.00 gamma=90.00
Element x y z (fractional)
Tl 0.000 0.000 0.000
Tl 0.500 0.500 0.000
Fe 0.145 0.355 0.000
Fe 0.355 0.855 0.000
Fe 0.645 0.145 0.000
Fe 0.855 0.645 0.000
Ge 0.142 0.642 0.500
Ge 0.358 0.142 0.500
Ge 0.642 0.858 0.500
Ge 0.858 0.358 0.500

***

[8]
## Tm9Fe10Ge10 (GGA-PBE)

Data for an optimized crystal structure of Tm9Fe10Ge10.

Results
**SG**: Immm
**Total moment**: 15.757 μB per formula unit
**Crystal system**: orthorhombic
**D(E_F)**: 20.2 states/eV/f.u.
**Formation enthalpy at 0 K**: -12.706 kcal/mol of atoms

Unit cell a=9.998 b=9.998 c=9.998 alpha=149.12 beta=96.86 gamma=91.28
Element x y z (fractional)
Tm 0.000 0.000 0.000
Tm 0.216 0.364 0.852
Tm 0.278 0.000 0.278
Tm 0.302 0.802 0.500
Tm 0.489 0.636 0.852
Tm 0.511 0.364 0.148
Tm 0.698 0.198 0.500
Tm 0.722 0.000 0.722
Tm 0.784 0.636 0.148
Fe 0.011 0.410 0.112
Fe 0.011 0.898 0.600
Fe 0.094 0.594 0.500
Fe 0.298 0.410 0.400
Fe 0.298 0.898 0.888
Fe 0.702 0.102 0.112
Fe 0.702 0.590 0.600
Fe 0.906 0.406 0.500
Fe 0.989 0.102 0.400
Fe 0.989 0.590 0.888
Ge 0.083 0.795 0.288
Ge 0.171 0.500 0.671
Ge 0.208 0.208 0.000
Ge 0.493 0.205 0.288
Ge 0.500 0.248 0.748
Ge 0.500 0.752 0.252
Ge 0.507 0.795 0.712
Ge 0.792 0.792 0.000
Ge 0.829 0.500 0.329
Ge 0.917 0.205 0.712